No. 1
This record from the Alexandria database describes CaNd2Cd2In2 after structural relaxation. The functional is PBE-GGA.

Cell lengths 9.943, 9.943, 9.943 Å; angles 29.00, 29.00, 29.00 degrees
Atoms (fractional coordinates):
Ca1 0.000 0.000 0.000
Nd1 0.128 0.128 0.128
Nd2 0.872 0.872 0.872
Cd1 0.401 0.401 0.401
Cd2 0.599 0.599 0.599
In1 0.258 0.258 0.258
In2 0.742 0.742 0.742

Magnetization: 0.00 μB/f.u.
E: -20.97 eV for the cell shown

No. 2
This record from the Alexandria database describes Ca2Cd6InNi after structural relaxation. The functional is PBE-GGA.

Cell lengths 7.844, 9.644, 6.900 Å; angles 90.00, 90.00, 90.00 degrees
Atoms (fractional coordinates):
Ca1 0.250 0.040 0.231
Ca2 0.250 0.460 0.231
Ca3 0.750 0.540 0.769
Ca4 0.750 0.960 0.769
Cd1 0.060 0.250 0.872
Cd2 0.064 0.750 0.538
Cd3 0.250 0.003 0.705
Cd4 0.250 0.497 0.705
Cd5 0.436 0.750 0.538
Cd6 0.440 0.250 0.872
Cd7 0.560 0.750 0.128
Cd8 0.564 0.250 0.462
Cd9 0.750 0.503 0.295
Cd10 0.750 0.997 0.295
Cd11 0.936 0.250 0.462
Cd12 0.940 0.750 0.128
In1 0.250 0.750 0.935
In2 0.750 0.250 0.065
Ni1 0.250 0.250 0.548
Ni2 0.750 0.750 0.452

Magnetization: 0.00 μB/f.u.
E: -38.51 eV for the cell shown

No. 3
This record from the Alexandria database describes CaCd2InNi after structural relaxation. The functional is PBE-GGA.

Cell lengths 5.018, 5.018, 4.905 Å; angles 90.00, 90.00, 90.00 degrees
Atoms (fractional coordinates):
Ca1 0.000 0.000 0.000
Cd1 0.000 0.500 0.500
Cd2 0.500 0.000 0.500
In1 0.500 0.500 0.000
Ni1 0.500 0.500 0.500

Magnetization: 0.00 μB/f.u.
E: -13.08 eV for the cell shown

No. 4
This record from the Alexandria database describes Ca2CdInO4 after structural relaxation. The functional is PBE-GGA.

Cell lengths 5.894, 3.452, 5.970 Å; angles 90.00, 109.62, 90.00 degrees
Atoms (fractional coordinates):
Ca1 0.000 0.000 0.000
Ca2 0.000 0.500 0.500
Cd1 0.500 0.000 0.500
In1 0.500 0.500 0.000
O1 0.243 0.500 0.246
O2 0.246 0.000 0.750
O3 0.754 0.000 0.250
O4 0.757 0.500 0.754

Magnetization: 0.00 μB/f.u.
Uncorrected formation energy: -1946.3 meV/atom
E: -43.06 eV for the cell shown

No. 5
This record from the Alexandria database describes Ca2CdInO5 after structural relaxation. The functional is PBE-GGA.

Cell lengths 6.877, 6.877, 11.415 Å; angles 90.00, 90.00, 150.67 degrees
Atoms (fractional coordinates):
Ca1 0.083 0.917 0.500
Ca2 0.151 0.849 0.085
Ca3 0.849 0.151 0.585
Ca4 0.917 0.083 0.000
Cd1 0.245 0.755 0.838
Cd2 0.755 0.245 0.338
In1 0.456 0.544 0.276
In2 0.544 0.456 0.776
O1 0.079 0.921 0.878
O2 0.258 0.742 0.493
O3 0.294 0.706 0.214
O4 0.404 0.596 0.867
O5 0.483 0.517 0.607
O6 0.517 0.483 0.107
O7 0.596 0.404 0.367
O8 0.706 0.294 0.714
O9 0.742 0.258 0.993
O10 0.921 0.079 0.378

Magnetization: 1.05 μB/f.u.
Uncorrected formation energy: -1839.4 meV/atom
E: -98.00 eV for the cell shown

No. 6
This record from the Alexandria database describes CaCd2InP after structural relaxation. The functional is PBE-GGA.

Cell lengths 5.417, 5.417, 5.228 Å; angles 90.00, 90.00, 90.00 degrees
Atoms (fractional coordinates):
Ca1 0.000 0.000 0.000
Cd1 0.000 0.500 0.500
Cd2 0.500 0.000 0.500
In1 0.500 0.500 0.500
P1 0.500 0.500 0.000

Magnetization: 0.00 μB/f.u.
E: -10.71 eV for the cell shown

No. 7
This record from the Alexandria database describes CaCd2InPd4 after structural relaxation. The functional is PBE-GGA.

Cell lengths 8.154, 8.154, 8.154 Å; angles 33.65, 33.65, 33.65 degrees
Atoms (fractional coordinates):
Ca1 0.000 0.000 0.000
Cd1 0.253 0.253 0.253
Cd2 0.747 0.747 0.747
In1 0.500 0.500 0.500
Pd1 0.130 0.130 0.130
Pd2 0.382 0.382 0.382
Pd3 0.618 0.618 0.618
Pd4 0.870 0.870 0.870

Magnetization: 0.00 μB/f.u.
E: -31.54 eV for the cell shown

No. 8
This record from the Alexandria database describes Ca2Cd2InPd5 after structural relaxation. The functional is PBE-GGA.

Cell lengths 10.190, 10.190, 3.874 Å; angles 90.00, 90.00, 90.00 degrees
Atoms (fractional coordinates):
Ca1 0.170 0.330 0.000
Ca2 0.330 0.830 0.000
Ca3 0.670 0.170 0.000
Ca4 0.830 0.670 0.000
Cd1 0.129 0.629 0.000
Cd2 0.371 0.129 0.000
Cd3 0.629 0.871 0.000
Cd4 0.871 0.371 0.000
In1 0.000 0.000 0.000
In2 0.500 0.500 0.000
Pd1 0.000 0.500 0.500
Pd2 0.060 0.805 0.500
Pd3 0.195 0.060 0.500
Pd4 0.305 0.560 0.500
Pd5 0.440 0.305 0.500
Pd6 0.500 0.000 0.500
Pd7 0.560 0.695 0.500
Pd8 0.695 0.440 0.500
Pd9 0.805 0.940 0.500
Pd10 0.940 0.195 0.500

Magnetization: 0.00 μB/f.u.
E: -79.33 eV for the cell shown

No. 9
This record from the Alexandria database describes Ca2Cd6InPd after structural relaxation. The functional is PBE-GGA.

Cell lengths 12.717, 12.717, 12.717 Å; angles 32.87, 32.87, 32.87 degrees
Atoms (fractional coordinates):
Ca1 0.101 0.101 0.101
Ca2 0.279 0.279 0.279
Ca3 0.721 0.721 0.721
Ca4 0.899 0.899 0.899
Cd1 0.070 0.672 0.672
Cd2 0.223 0.223 0.640
Cd3 0.223 0.640 0.223
Cd4 0.328 0.328 0.930
Cd5 0.328 0.930 0.328
Cd6 0.360 0.777 0.777
Cd7 0.640 0.223 0.223
Cd8 0.672 0.070 0.672
Cd9 0.672 0.672 0.070
Cd10 0.777 0.360 0.777
Cd11 0.777 0.777 0.360
Cd12 0.930 0.328 0.328
In1 0.426 0.426 0.426
In2 0.574 0.574 0.574
Pd1 0.000 0.000 0.000
Pd2 0.500 0.500 0.500

Magnetization: 0.00 μB/f.u.
E: -38.39 eV for the cell shown

No. 10
This record from the Alexandria database describes Ca2CdIn6Pd after structural relaxation. The functional is PBE-GGA.

Cell lengths 13.100, 13.100, 13.100 Å; angles 31.98, 31.98, 31.98 degrees
Atoms (fractional coordinates):
Ca1 0.102 0.102 0.102
Ca2 0.279 0.279 0.279
Ca3 0.721 0.721 0.721
Ca4 0.898 0.898 0.898
Cd1 0.426 0.426 0.426
Cd2 0.574 0.574 0.574
In1 0.075 0.666 0.666
In2 0.222 0.222 0.648
In3 0.222 0.648 0.222
In4 0.334 0.334 0.925
In5 0.334 0.925 0.334
In6 0.352 0.778 0.778
In7 0.648 0.222 0.222
In8 0.666 0.075 0.666
In9 0.666 0.666 0.075
In10 0.778 0.352 0.778
In11 0.778 0.778 0.352
In12 0.925 0.334 0.334
Pd1 0.000 0.000 0.000
Pd2 0.500 0.500 0.500

Magnetization: 0.00 μB/f.u.
E: -57.37 eV for the cell shown

No. 11
This record from the Alexandria database describes CaPm2Cd2In2 after structural relaxation. The functional is PBE-GGA.

Cell lengths 9.884, 9.884, 9.884 Å; angles 29.12, 29.12, 29.12 degrees
Atoms (fractional coordinates):
Ca1 0.000 0.000 0.000
Pm1 0.128 0.128 0.128
Pm2 0.872 0.872 0.872
Cd1 0.402 0.402 0.402
Cd2 0.598 0.598 0.598
In1 0.257 0.257 0.257
In2 0.743 0.743 0.743

Magnetization: 0.00 μB/f.u.
E: -20.91 eV for the cell shown

No. 12
This record from the Alexandria database describes CaPr2Cd2In2 after structural relaxation. The functional is PBE-GGA.

Cell lengths 10.000, 10.000, 10.000 Å; angles 28.88, 28.88, 28.88 degrees
Atoms (fractional coordinates):
Ca1 0.000 0.000 0.000
Pr1 0.128 0.128 0.128
Pr2 0.872 0.872 0.872
Cd1 0.400 0.400 0.400
Cd2 0.600 0.600 0.600
In1 0.259 0.259 0.259
In2 0.741 0.741 0.741

Magnetization: 0.00 μB/f.u.
E: -21.02 eV for the cell shown